Record 1
The following is a GGA-PBE calculation of an optimized crystal structure of TlBiAu2, from the Alexandria database.

Computed properties:
space-group type: R-3m
raw total energy: -3.19 eV per atom
spin magnetization: 0.00 μB per formula unit
calculated formation energy: 15 meV/atom
calculated density: 12.84 g cm⁻³

abc: 7.5596 7.5596 7.5596
angles: 31.45 31.45 31.45
With the nearest neighbours (Å) after each atom.
Positions (direct):
Tl (0.0000, 0.0000, 0.0000)  6 Au 2.98
Bi (0.5000, 0.5000, 0.5000)  6 Au 2.96
Au (0.2489, 0.2489, 0.2489)  3 Bi 2.96, 3 Tl 2.98
Au (0.7511, 0.7511, 0.7511)  3 Bi 2.96, 3 Tl 2.98


Record 2
The following is a GGA-PBE calculation of an optimized crystal structure of Tl3Bi4Au4, from the Alexandria database.

Computed properties:
offset from the most stable computed form: 0 meV per atom
space-group type: Immm
raw total energy: -3.28 eV per atom
spin magnetization: 0.00 μB per formula unit
calculated formation energy: -30 meV/atom
calculated density: 12.14 g cm⁻³

abc: 9.6873 9.6873 9.6873
angles: 152.38 133.11 55.29
With the nearest neighbours (Å) after each atom.
Positions (direct):
Tl (0.0000, 0.0000, 0.0000)  6 Au 3.22-3.50
Tl (0.4037, 0.9037, 0.5000)  4 Au 3.27, 1 Tl 3.31, 4 Bi 3.39
Tl (0.5963, 0.0963, 0.5000)  4 Au 3.27, 1 Tl 3.31, 4 Bi 3.39
Bi (0.0525, 0.3324, 0.7200)  4 Au 2.93-3.08
Bi (0.3876, 0.6676, 0.7200)  4 Au 2.93-3.08
Bi (0.6124, 0.3324, 0.2800)  4 Au 2.93-3.08
Bi (0.9475, 0.6676, 0.2800)  4 Au 2.93-3.08
Au (0.2041, 0.2041, 0.0000)  6 Bi 2.94-3.08
Au (0.2913, 0.5000, 0.7913)  2 Bi 2.93, 1 Au 3.22, 6 Tl 3.22-3.27
Au (0.7087, 0.5000, 0.2087)  2 Bi 2.93, 1 Au 3.22, 6 Tl 3.22-3.27
Au (0.7959, 0.7959, 0.0000)  6 Bi 2.94-3.08


Record 3
The following is a GGA-PBE calculation of an optimized crystal structure of Tl3Bi4Au4, from the Alexandria database.

Computed properties:
offset from the most stable computed form: 71 meV per atom
space-group type: Immm
raw total energy: -3.21 eV per atom
spin magnetization: 0.00 μB per formula unit
calculated formation energy: 41 meV/atom
calculated density: 11.38 g cm⁻³

abc: 14.5633 14.5633 14.5633
angles: 162.26 159.70 27.09
With the nearest neighbours (Å) after each atom.
Positions (direct):
Tl (0.0000, 0.0000, 0.0000)  4 Bi 3.43, 8 Au 3.69
Tl (0.3655, 0.8655, 0.5000)  2 Au 3.30, 4 Bi 3.62
Tl (0.6345, 0.1345, 0.5000)  2 Au 3.30, 4 Bi 3.62
Bi (0.0918, 0.5918, 0.5000)  3 Au 2.79-2.83
Bi (0.2599, 0.2599, 0.0000)  4 Au 2.93-2.99
Bi (0.7401, 0.7401, 0.0000)  4 Au 2.93-2.99
Bi (0.9082, 0.4082, 0.5000)  3 Au 2.79-2.83
Au (0.1903, 0.6903, 0.5000)  5 Bi 2.79-2.99
Au (0.4507, 0.4507, 0.0000)  1 Au 2.79, 2 Bi 2.83
Au (0.5493, 0.5493, 0.0000)  1 Au 2.79, 2 Bi 2.83
Au (0.8097, 0.3097, 0.5000)  5 Bi 2.79-2.99


Record 4
The following is a GGA-PBE calculation of an optimized crystal structure of Tl3Bi4Au2, from the Alexandria database.

Computed properties:
space-group type: P-1
raw total energy: -3.25 eV per atom
spin magnetization: 0.00 μB per formula unit
calculated formation energy: -5 meV/atom
calculated density: 10.69 g cm⁻³

abc: 4.4552 7.9687 8.7327
angles: 109.14 96.81 97.14
With the nearest neighbours (Å) after each atom.
Positions (direct):
Tl (0.0000, 0.0000, 0.0000)  6 Bi 3.39-3.78, 2 Tl 3.52
Tl (0.1581, 0.6064, 0.7149)  1 Au 2.99
Tl (0.8419, 0.3936, 0.2851)  1 Au 2.99
Bi (0.3307, 0.1702, 0.4440)  3 Au 2.88-2.97
Bi (0.4704, 0.2949, 0.8925)  2 Au 2.86-2.90, 1 Bi 3.15
Bi (0.5296, 0.7051, 0.1075)  2 Au 2.86-2.90, 1 Bi 3.15
Bi (0.6693, 0.8298, 0.5560)  3 Au 2.88-2.97
Au (0.1023, 0.7753, 0.3319)  5 Bi 2.86-2.97, 1 Tl 2.99
Au (0.8977, 0.2247, 0.6681)  5 Bi 2.86-2.97, 1 Tl 2.99


Record 5
The following is a GGA-PBE calculation of an optimized crystal structure of TlBi2Au2, from the Alexandria database.

Computed properties:
offset from the most stable computed form: 63 meV per atom
space-group type: P4/mbm
raw total energy: -3.31 eV per atom
spin magnetization: 0.00 μB per formula unit
calculated formation energy: 23 meV/atom
calculated density: 12.94 g cm⁻³

abc: 8.3994 8.3994 3.6960
angles: 90.00 90.00 90.00
With the nearest neighbours (Å) after each atom.
Positions (direct):
Tl (0.0000, 0.0000, 0.0000)  4 Au 3.32, 8 Bi 3.63, 2 Tl 3.70
Tl (0.5000, 0.5000, 0.0000)  4 Au 3.32, 8 Bi 3.63, 2 Tl 3.70
Bi (0.1697, 0.3303, 0.5000)  6 Au 3.05-3.12
Bi (0.3303, 0.8303, 0.5000)  6 Au 3.05-3.12
Bi (0.6697, 0.1697, 0.5000)  6 Au 3.05-3.12
Bi (0.8303, 0.6697, 0.5000)  6 Au 3.05-3.12
Au (0.1257, 0.6257, 0.0000)  1 Au 2.99, 6 Bi 3.05-3.12, 2 Tl 3.32
Au (0.3743, 0.1257, 0.0000)  1 Au 2.99, 6 Bi 3.05-3.12, 2 Tl 3.32
Au (0.6257, 0.8743, 0.0000)  1 Au 2.99, 6 Bi 3.05-3.12, 2 Tl 3.32
Au (0.8743, 0.3743, 0.0000)  1 Au 2.99, 6 Bi 3.05-3.12, 2 Tl 3.32


Record 6
The following is a GGA-PBE calculation of an optimized crystal structure of TlBi3Au2, from the Alexandria database.

Computed properties:
space-group type: Amm2
raw total energy: -3.33 eV per atom
spin magnetization: 0.00 μB per formula unit
calculated formation energy: 100 meV/atom
calculated density: 10.60 g cm⁻³

abc: 4.3001 6.6948 6.6948
angles: 84.56 90.00 90.00
With the nearest neighbours (Å) after each atom.
Positions (direct):
Tl (0.0000, 0.0000, 0.0000)  3 Au 2.79-3.00
Bi (0.0000, 0.4135, 0.4135)  3 Au 2.94-3.02
Bi (0.5000, 0.4335, 0.8194)  3 Au 2.89-2.91
Bi (0.5000, 0.8194, 0.4335)  3 Au 2.89-2.91
Au (0.0000, 0.7183, 0.7183)  1 Tl 2.79, 5 Bi 2.91-3.02
Au (0.5000, 0.2116, 0.2116)  4 Bi 2.89-2.94, 2 Tl 3.00


Record 7
The following is a GGA-PBE calculation of an optimized crystal structure of Tl3Bi2Au2, from the Alexandria database.

Computed properties:
space-group type: P-1
raw total energy: -3.04 eV per atom
spin magnetization: 0.00 μB per formula unit
calculated formation energy: 16 meV/atom
calculated density: 11.45 g cm⁻³

abc: 4.2046 6.6688 8.1668
angles: 108.73 90.23 106.59
With the nearest neighbours (Å) after each atom.
Positions (direct):
Tl (0.0000, 0.0000, 0.0000)  4 Au 3.11-3.25
Tl (0.1355, 0.2269, 0.4537)  3 Au 2.97-3.04, 1 Tl 3.25
Tl (0.8645, 0.7731, 0.5463)  3 Au 2.97-3.04, 1 Tl 3.25
Bi (0.3113, 0.6268, 0.1471)  3 Au 3.03-3.22, 2 Bi 3.18-3.21
Bi (0.6887, 0.3732, 0.8529)  3 Au 3.03-3.22, 2 Bi 3.18-3.21
Au (0.3176, 0.6584, 0.7613)  5 Tl 2.97-3.25, 3 Bi 3.03-3.22
Au (0.6824, 0.3416, 0.2387)  5 Tl 2.97-3.25, 3 Bi 3.03-3.22


Record 8
The following is a GGA-PBE calculation of an optimized crystal structure of Tl4Bi3Au2, from the Alexandria database.

Computed properties:
space-group type: C2/m
raw total energy: -3.08 eV per atom
spin magnetization: 0.00 μB per formula unit
calculated formation energy: -7 meV/atom
calculated density: 11.07 g cm⁻³

abc: 8.7974 8.7974 7.8564
angles: 113.54 113.54 29.86
With the nearest neighbours (Å) after each atom.
Positions (direct):
Tl (0.1200, 0.1200, 0.3479)  2 Au 3.29-3.42, 4 Bi 3.49-3.55, 3 Tl 3.56-3.60
Tl (0.2713, 0.2713, 0.8316)  3 Au 3.28-3.34, 4 Bi 3.55-3.64, 3 Tl 3.56-3.60
Tl (0.7287, 0.7287, 0.1684)  3 Au 3.28-3.34, 4 Bi 3.55-3.64, 3 Tl 3.56-3.60
Tl (0.8800, 0.8800, 0.6521)  2 Au 3.29-3.42, 4 Bi 3.49-3.55, 3 Tl 3.56-3.60
Bi (0.4060, 0.4060, 0.3320)  2 Au 2.88, 1 Bi 3.20
Bi (0.5000, 0.5000, 0.0000)  4 Au 3.06
Bi (0.5940, 0.5940, 0.6680)  2 Au 2.88, 1 Bi 3.20
Au (0.0912, 0.0912, 0.8908)  4 Bi 2.88-3.06
Au (0.9088, 0.9088, 0.1092)  4 Bi 2.88-3.06


Record 9
The following is a GGA-PBE calculation of an optimized crystal structure of Tl4BiAu5, from the Alexandria database.

Computed properties:
space-group type: P-1
raw total energy: -2.96 eV per atom
spin magnetization: 0.00 μB per formula unit
calculated formation energy: 9 meV/atom
calculated density: 12.73 g cm⁻³

abc: 6.0623 7.1411 7.1779
angles: 81.02 66.46 67.07
With the nearest neighbours (Å) after each atom.
Positions (direct):
Tl (0.1011, 0.2046, 0.1012)  6 Au 2.93-3.03
Tl (0.2965, 0.6017, 0.2947)  6 Au 2.93-3.03
Tl (0.7035, 0.3983, 0.7053)  6 Au 2.93-3.03
Tl (0.8989, 0.7954, 0.8988)  6 Au 2.93-3.03
Bi (0.5000, 0.0000, 0.5000)  6 Au 2.92-3.03
Au (0.0000, 0.0000, 0.5000)  4 Tl 2.95, 2 Bi 3.03
Au (0.2081, 0.4004, 0.6942)  1 Bi 2.93, 5 Tl 2.93-3.03
Au (0.3940, 0.8052, 0.8992)  1 Bi 2.92, 5 Tl 2.93-3.03
Au (0.6060, 0.1948, 0.1008)  1 Bi 2.92, 5 Tl 2.93-3.03
Au (0.7919, 0.5996, 0.3058)  1 Bi 2.93, 5 Tl 2.93-3.03